## P
Below is crystalline PmSnPt4 at its relaxed geometry, with properties calculated at the GGA-PBE level.

## Properties
symmetry = Cmcm
V = 19.3 Å³/atom

Cell lengths 9.6526, 9.6526, 5.8049 Å; angles 90.00, 90.00, 154.59 degrees
Last column: nearest neighbours and their distance in Å.
Element x y z (fractional)
Pm 0.0824 0.9176 0.7500  11 Pt 2.91-3.00
Pm 0.9176 0.0824 0.2500  11 Pt 2.91-3.00
Sn 0.2265 0.7735 0.2500  7 Pt 2.67-2.84
Sn 0.7735 0.2265 0.7500  7 Pt 2.67-2.84
Pt 0.0757 0.9243 0.2500  1 Sn 2.84, 3 Pm 2.91-2.98, 8 Pt 2.94-2.96
Pt 0.3426 0.6574 0.5145  3 Sn 2.67-2.84, 4 Pt 2.73-2.97, 2 Pm 2.98
Pt 0.3426 0.6574 0.9855  3 Sn 2.67-2.84, 4 Pt 2.73-2.97, 2 Pm 2.98
Pt 0.5000 0.5000 0.0000  8 Pt 2.90-2.97, 4 Pm 3.00
Pt 0.5000 0.5000 0.5000  8 Pt 2.90-2.97, 4 Pm 3.00
Pt 0.6574 0.3426 0.0145  3 Sn 2.67-2.84, 4 Pt 2.73-2.97, 2 Pm 2.98
Pt 0.6574 0.3426 0.4855  3 Sn 2.67-2.84, 4 Pt 2.73-2.97, 2 Pm 2.98
Pt 0.9243 0.0757 0.7500  1 Sn 2.84, 3 Pm 2.91-2.98, 8 Pt 2.94-2.96

=====

## Q
Below is crystalline PmSnPt4 at its relaxed geometry, with properties calculated at the GGA-PBE level.

## Properties
symmetry = F-43m
V = 19.1 Å³/atom

Cell lengths 5.4490, 5.4490, 5.4490 Å; angles 60.00, 60.00, 60.00 degrees
Last column: nearest neighbours and their distance in Å.
Element x y z (fractional)
Pm 0.0000 0.0000 0.0000  12 Pt 3.20, 4 Sn 3.34
Sn 0.7500 0.7500 0.7500  12 Pt 3.19, 4 Pm 3.34
Pt 0.3752 0.3752 0.3752  6 Pt 2.72-2.73
Pt 0.3752 0.3752 0.8744  6 Pt 2.72-2.73
Pt 0.3752 0.8744 0.3752  6 Pt 2.72-2.73
Pt 0.8744 0.3752 0.3752  6 Pt 2.72-2.73

=====

P is the most stable structure; the next one sits 0.010 eV/atom above it.

=====

## P
Below is crystalline SrPm2Pt at its relaxed geometry, with properties calculated at the GGA-PBE level.

## Properties
symmetry = R-3m
V = 38.2 Å³/atom

Cell lengths 10.1581, 10.1581, 10.1581 Å; angles 24.04, 24.04, 24.04 degrees
Last column: nearest neighbours and their distance in Å.
Element x y z (fractional)
Sr 0.0000 0.0000 0.0000  6 Pm 4.20, 6 Sr 4.23
Pm 0.2178 0.2178 0.2178  3 Pt 2.87
Pm 0.7822 0.7822 0.7822  3 Pt 2.87
Pt 0.5000 0.5000 0.5000  6 Pm 2.87

=====

## Q
Below is crystalline SrPm2Pt at its relaxed geometry, with properties calculated at the GGA-PBE level.

## Properties
symmetry = P4/mmm
V = 33.4 Å³/atom

Cell lengths 3.6730, 3.6730, 9.9031 Å; angles 90.00, 90.00, 90.00 degrees
Last column: nearest neighbours and their distance in Å.
Element x y z (fractional)
Sr 0.0000 0.0000 0.0000  4 Sr 3.67
Pm 0.5000 0.5000 0.3340  4 Pt 3.07, 1 Pm 3.29
Pm 0.5000 0.5000 0.6660  4 Pt 3.07, 1 Pm 3.29
Pt 0.0000 0.0000 0.5000  8 Pm 3.07

=====

P is the most stable structure; the next one sits 0.047 eV/atom above it.

=====

## P
Below is crystalline SrPm2Pt at its relaxed geometry, with properties calculated at the GGA-PBE level.

## Properties
symmetry = Cmcm
V = 31.9 Å³/atom

Cell lengths 6.7383, 6.7383, 9.5790 Å; angles 90.00, 90.00, 144.03 degrees
Last column: nearest neighbours and their distance in Å.
Element x y z (fractional)
Sr 0.0672 0.9328 0.7500  2 Pt 3.34
Sr 0.9328 0.0672 0.2500  2 Pt 3.34
Pm 0.3521 0.6479 0.5623  2 Pt 2.94
Pm 0.3521 0.6479 0.9377  2 Pt 2.94
Pm 0.6479 0.3521 0.0623  2 Pt 2.94
Pm 0.6479 0.3521 0.4377  2 Pt 2.94
Pt 0.2291 0.7709 0.2500  4 Pm 2.94
Pt 0.7709 0.2291 0.7500  4 Pm 2.94

=====

## Q
Below is crystalline SrPm2Pt at its relaxed geometry, with properties calculated at the GGA-PBE level.

## Properties
symmetry = R3m
V = 37.7 Å³/atom

Cell lengths 9.8629, 9.8629, 9.8629 Å; angles 25.01, 25.01, 25.01 degrees
Last column: nearest neighbours and their distance in Å.
Element x y z (fractional)
Sr 0.0000 0.0000 0.0000  6 Pm 4.08-4.16, 6 Sr 4.27
Pm 0.5499 0.5499 0.5499  3 Pt 2.87
Pm 0.7801 0.7801 0.7801  3 Pt 2.87
Pt 0.1650 0.1650 0.1650  6 Pm 2.87

=====

P is the most stable structure; the next one sits 0.007 eV/atom above it.

=====

## P
Below is crystalline SrPmPt2 at its relaxed geometry, with properties calculated at the GGA-PBE level.

## Properties
symmetry = R3m
V = 27.5 Å³/atom

Cell lengths 7.7657, 7.7657, 7.7657 Å; angles 30.99, 30.99, 30.99 degrees
Last column: nearest neighbours and their distance in Å.
Element x y z (fractional)
Sr 0.0000 0.0000 0.0000  6 Pt 3.07-3.17
Pm 0.8287 0.8287 0.8287  6 Pt 2.92-2.95
Pt 0.2395 0.2395 0.2395  3 Pm 2.95, 3 Sr 3.17
Pt 0.4200 0.4200 0.4200  3 Pm 2.92, 3 Sr 3.07

=====

## Q
Below is crystalline SrPmPt2 at its relaxed geometry, with properties calculated at the GGA-PBE level.

## Properties
symmetry = P4/mmm
V = 24.2 Å³/atom

Cell lengths 3.6215, 3.6215, 7.3783 Å; angles 90.00, 90.00, 90.00 degrees
Last column: nearest neighbours and their distance in Å.
Element x y z (fractional)
Sr 0.0000 0.0000 0.0000  8 Pt 3.30, 4 Sr 3.62, 2 Pm 3.69
Pm 0.0000 0.0000 0.5000  8 Pt 3.03
Pt 0.5000 0.5000 0.2813  4 Pm 3.03, 1 Pt 3.23, 4 Sr 3.30
Pt 0.5000 0.5000 0.7187  4 Pm 3.03, 1 Pt 3.23, 4 Sr 3.30

=====

## R
Below is crystalline SrPmPt2 at its relaxed geometry, with properties calculated at the GGA-PBE level.

## Properties
symmetry = Fm-3m
V = 23.7 Å³/atom

Cell lengths 5.1161, 5.1161, 5.1161 Å; angles 60.00, 60.00, 60.00 degrees
Last column: nearest neighbours and their distance in Å.
Element x y z (fractional)
Sr 0.0000 0.0000 0.0000  8 Pt 3.13
Pm 0.5000 0.5000 0.5000  8 Pt 3.13
Pt 0.2500 0.2500 0.2500  4 Pm 3.13, 4 Sr 3.13
Pt 0.7500 0.7500 0.7500  4 Pm 3.13, 4 Sr 3.13

=====

## S
Below is crystalline SrPmPt2 at its relaxed geometry, with properties calculated at the GGA-PBE level.

## Properties
symmetry = R-3m
V = 27.4 Å³/atom

Cell lengths 7.4986, 7.4986, 7.4986 Å; angles 32.75, 32.75, 32.75 degrees
Last column: nearest neighbours and their distance in Å.
Element x y z (fractional)
Sr 0.0000 0.0000 0.0000  6 Pt 3.12
Pm 0.5000 0.5000 0.5000  6 Pt 2.92
Pt 0.2422 0.2422 0.2422  3 Pm 2.92, 3 Sr 3.12
Pt 0.7578 0.7578 0.7578  3 Pm 2.92, 3 Sr 3.12

=====

Q is the most stable structure; the next one sits 0.066 eV/atom above it.

=====

## P
Below is crystalline SrPmPt at its relaxed geometry, with properties calculated at the GGA-PBE level.

## Properties
symmetry = P3m1
V = 36.4 Å³/atom

Cell lengths 4.2732, 4.2732, 6.9055 Å; angles 90.00, 90.00, 120.00 degrees
Last column: nearest neighbours and their distance in Å.
Element x y z (fractional)
Sr 0.0000 0.0000 0.0000  3 Pt 3.07
Pm 0.3333 0.6667 0.5346  3 Pt 2.83
Pt 0.6667 0.3333 0.7350  3 Pm 2.83, 3 Sr 3.07

=====

## Q
Below is crystalline SrPmPt at its relaxed geometry, with properties calculated at the GGA-PBE level.

## Properties
symmetry = F-43m
V = 31.0 Å³/atom

Cell lengths 5.0855, 5.0855, 5.0855 Å; angles 60.00, 60.00, 60.00 degrees
Last column: nearest neighbours and their distance in Å.
Element x y z (fractional)
Sr 0.0000 0.0000 0.0000  4 Pt 3.11
Pm 0.5000 0.5000 0.5000  4 Pt 3.11
Pt 0.2500 0.2500 0.2500  4 Pm 3.11, 4 Sr 3.11

=====

## R
Below is crystalline SrPmPt at its relaxed geometry, with properties calculated at the GGA-PBE level.

## Properties
symmetry = P4/nmm
V = 34.4 Å³/atom

Cell lengths 5.8006, 5.8006, 6.1296 Å; angles 90.00, 90.00, 90.00 degrees
Last column: nearest neighbours and their distance in Å.
Element x y z (fractional)
Sr 0.2500 0.2500 0.0206  2 Pt 3.04-3.09
Sr 0.7500 0.7500 0.9794  2 Pt 3.04-3.09
Pm 0.2500 0.7500 0.5000  4 Pt 2.90
Pm 0.7500 0.2500 0.5000  4 Pt 2.90
Pt 0.2500 0.2500 0.5246  4 Pm 2.90, 2 Sr 3.04-3.09
Pt 0.7500 0.7500 0.4754  4 Pm 2.90, 2 Sr 3.04-3.09

=====

R is the most stable structure; the next one sits 0.072 eV/atom above it.

=====

## P
Below is crystalline TbPm2Pt at its relaxed geometry, with properties calculated at the GGA-PBE level.

## Properties
symmetry = R3m
V = 31.6 Å³/atom

Cell lengths 9.5105, 9.5105, 9.5105 Å; angles 24.16, 24.16, 24.16 degrees
Last column: nearest neighbours and their distance in Å.
Element x y z (fractional)
Tb 0.0000 0.0000 0.0000  6 Pm 3.67-3.71, 6 Tb 3.98
Pm 0.2300 0.2300 0.2300  3 Pt 2.87
Pm 0.4387 0.4387 0.4387  3 Pt 2.88
Pt 0.8348 0.8348 0.8348  6 Pm 2.87-2.88

=====

## Q
Below is crystalline TbPm2Pt at its relaxed geometry, with properties calculated at the GGA-PBE level.

## Properties
symmetry = Pnma
V = 29.2 Å³/atom

Cell lengths 7.1519, 9.9536, 6.5667 Å; angles 90.00, 90.00, 90.00 degrees
Last column: nearest neighbours and their distance in Å.
Element x y z (fractional)
Tb 0.0298 0.2500 0.1414  2 Pt 2.84-2.89
Tb 0.4702 0.7500 0.6414  2 Pt 2.84-2.89
Tb 0.5298 0.2500 0.3587  2 Pt 2.84-2.89
Tb 0.9702 0.7500 0.8586  2 Pt 2.84-2.89
Pm 0.1810 0.0612 0.6756  2 Pt 2.95-2.97
Pm 0.1810 0.4388 0.6756  2 Pt 2.95-2.97
Pm 0.3190 0.5612 0.1756  2 Pt 2.95-2.97
Pm 0.3190 0.9388 0.1756  2 Pt 2.95-2.97
Pm 0.6810 0.0612 0.8244  2 Pt 2.95-2.97
Pm 0.6810 0.4388 0.8244  2 Pt 2.95-2.97
Pm 0.8190 0.5612 0.3244  2 Pt 2.95-2.97
Pm 0.8190 0.9388 0.3244  2 Pt 2.95-2.97
Pt 0.1153 0.7500 0.4478  2 Tb 2.84-2.89, 4 Pm 2.95-2.97
Pt 0.3847 0.2500 0.9478  2 Tb 2.84-2.89, 4 Pm 2.95-2.97
Pt 0.6153 0.7500 0.0522  2 Tb 2.84-2.89, 4 Pm 2.95-2.97
Pt 0.8847 0.2500 0.5522  2 Tb 2.84-2.89, 4 Pm 2.95-2.97

=====

## R
Below is crystalline TbPm2Pt at its relaxed geometry, with properties calculated at the GGA-PBE level.

## Properties
symmetry = R-3m
V = 32.9 Å³/atom

Cell lengths 10.9284, 10.9284, 10.9284 Å; angles 19.85, 19.85, 19.85 degrees
Last column: nearest neighbours and their distance in Å.
Element x y z (fractional)
Tb 0.0000 0.0000 0.0000  2 Pm 3.50, 6 Tb 3.77
Pm 0.1089 0.1089 0.1089  3 Pt 2.86
Pm 0.8911 0.8911 0.8911  3 Pt 2.86
Pt 0.5000 0.5000 0.5000  6 Pm 2.86

=====

## S
Below is crystalline TbPm2Pt at its relaxed geometry, with properties calculated at the GGA-PBE level.

## Properties
symmetry = Pnna
V = 31.9 Å³/atom

Cell lengths 6.7732, 6.5712, 11.4536 Å; angles 90.00, 90.00, 90.00 degrees
Last column: nearest neighbours and their distance in Å.
Element x y z (fractional)
Tb 0.0509 0.2500 0.2500  2 Pt 2.79
Tb 0.4491 0.7500 0.2500  2 Pt 2.79
Tb 0.5509 0.2500 0.7500  2 Pt 2.79
Tb 0.9491 0.7500 0.7500  2 Pt 2.79
Pm 0.0842 0.2350 0.5852  2 Pt 2.86-2.90
Pm 0.0842 0.2650 0.9148  2 Pt 2.86-2.90
Pm 0.4158 0.7350 0.9148  2 Pt 2.86-2.90
Pm 0.4158 0.7650 0.5852  2 Pt 2.86-2.90
Pm 0.5842 0.2350 0.4148  2 Pt 2.86-2.90
Pm 0.5842 0.2650 0.0852  2 Pt 2.86-2.90
Pm 0.9158 0.7350 0.0852  2 Pt 2.86-2.90
Pm 0.9158 0.7650 0.4148  2 Pt 2.86-2.90
Pt 0.2500 0.0000 0.0924  2 Tb 2.79, 4 Pm 2.86-2.90
Pt 0.2500 0.5000 0.4076  2 Tb 2.79, 4 Pm 2.86-2.90
Pt 0.7500 0.0000 0.9076  2 Tb 2.79, 4 Pm 2.86-2.90
Pt 0.7500 0.5000 0.5924  2 Tb 2.79, 4 Pm 2.86-2.90

=====

Q is the most stable structure; the next one sits 0.153 eV/atom above it.

=====

## P
Below is crystalline TbPmPt at its relaxed geometry, with properties calculated at the GGA-PBE level.

## Properties
symmetry = F-43m
V = 28.4 Å³/atom

Cell lengths 4.9415, 4.9415, 4.9415 Å; angles 60.00, 60.00, 60.00 degrees
Last column: nearest neighbours and their distance in Å.
Element x y z (fractional)
Tb 0.0000 0.0000 0.0000  4 Pt 3.03
Pm 0.5000 0.5000 0.5000  4 Pt 3.03
Pt 0.7500 0.7500 0.7500  4 Tb 3.03, 4 Pm 3.03

=====

## Q
Below is crystalline TbPmPt at its relaxed geometry, with properties calculated at the GGA-PBE level.

## Properties
symmetry = Pbca
V = 28.1 Å³/atom

Cell lengths 6.9670, 13.4199, 7.2077 Å; angles 90.00, 90.00, 90.00 degrees
Last column: nearest neighbours and their distance in Å.
Element x y z (fractional)
Tb 0.0032 0.0315 0.2396  4 Pt 2.84-2.97
Tb 0.0032 0.4685 0.7396  4 Pt 2.84-2.97
Tb 0.4968 0.5315 0.2396  4 Pt 2.84-2.97
Tb 0.4968 0.9685 0.7396  4 Pt 2.84-2.97
Tb 0.5032 0.0315 0.2604  4 Pt 2.84-2.97
Tb 0.5032 0.4685 0.7604  4 Pt 2.84-2.97
Tb 0.9968 0.5315 0.2604  4 Pt 2.84-2.97
Tb 0.9968 0.9685 0.7604  4 Pt 2.84-2.97
Pm 0.1976 0.6990 0.8939  2 Pt 2.89-2.92
Pm 0.1976 0.8010 0.3939  2 Pt 2.89-2.92
Pm 0.3024 0.1990 0.8939  2 Pt 2.89-2.92
Pm 0.3024 0.3010 0.3939  2 Pt 2.89-2.92
Pm 0.6976 0.6990 0.6061  2 Pt 2.89-2.92
Pm 0.6976 0.8010 0.1061  2 Pt 2.89-2.92
Pm 0.8024 0.1990 0.6061  2 Pt 2.89-2.92
Pm 0.8024 0.3010 0.1061  2 Pt 2.89-2.92
Pt 0.2261 0.1026 0.5423  4 Tb 2.84-2.97, 2 Pm 2.89-2.92
Pt 0.2261 0.3974 0.0423  4 Tb 2.84-2.97, 2 Pm 2.89-2.92
Pt 0.2739 0.6026 0.5423  4 Tb 2.84-2.97, 2 Pm 2.89-2.92
Pt 0.2739 0.8974 0.0423  4 Tb 2.84-2.97, 2 Pm 2.89-2.92
Pt 0.7261 0.1026 0.9577  4 Tb 2.84-2.97, 2 Pm 2.89-2.92
Pt 0.7261 0.3974 0.4577  4 Tb 2.84-2.97, 2 Pm 2.89-2.92
Pt 0.7739 0.6026 0.9577  4 Tb 2.84-2.97, 2 Pm 2.89-2.92
Pt 0.7739 0.8974 0.4577  4 Tb 2.84-2.97, 2 Pm 2.89-2.92

=====

Q is the most stable structure; the next one sits 0.083 eV/atom above it.

=====

## P
Below is crystalline TbPmPt at its relaxed geometry, with properties calculated at the GGA-PBE level.

## Properties
symmetry = P3m1
V = 26.8 Å³/atom

Cell lengths 4.6762, 4.6762, 4.2477 Å; angles 90.00, 90.00, 120.00 degrees
Last column: nearest neighbours and their distance in Å.
Element x y z (fractional)
Tb 0.0000 0.0000 0.0000  3 Pt 2.86
Pm 0.6667 0.3333 0.5258  3 Pt 2.99
Pt 0.3333 0.6667 0.2221  3 Tb 2.86, 3 Pm 2.99

=====

## Q
Below is crystalline TbPmPt at its relaxed geometry, with properties calculated at the GGA-PBE level.

## Properties
symmetry = Amm2
V = 26.5 Å³/atom

Cell lengths 4.7847, 7.3461, 7.3461 Å; angles 112.30, 90.00, 90.00 degrees
Last column: nearest neighbours and their distance in Å.
Element x y z (fractional)
Tb 0.0000 0.0000 0.0000  2 Pt 2.88
Tb 0.0000 0.2578 0.5328  4 Pt 2.78-3.02
Tb 0.0000 0.5328 0.2578  4 Pt 2.78-3.02
Pm 0.5000 0.3037 0.8938  3 Pt 3.02-3.13
Pm 0.5000 0.6790 0.6790  5 Pt 3.06-3.12
Pm 0.5000 0.8938 0.3037  3 Pt 3.02-3.13
Pt 0.0000 0.5810 0.9000  3 Tb 2.78-2.88
Pt 0.0000 0.9000 0.5810  3 Tb 2.78-2.88
Pt 0.5000 0.3046 0.3046  4 Tb 3.02, 3 Pm 3.02-3.06

=====

Q is the most stable structure; the next one sits 0.200 eV/atom above it.

=====

## P
Below is crystalline TbPm2Pt2 at its relaxed geometry, with properties calculated at the GGA-PBE level.

## Properties
symmetry = P4/mbm
V = 25.1 Å³/atom

Cell lengths 7.8559, 7.8559, 4.0709 Å; angles 90.00, 90.00, 90.00 degrees
Last column: nearest neighbours and their distance in Å.
Element x y z (fractional)
Tb 0.0000 0.0000 0.0000  4 Pt 3.05
Tb 0.5000 0.5000 0.0000  4 Pt 3.05
Pm 0.1630 0.3370 0.5000  6 Pt 3.01-3.12
Pm 0.3370 0.8370 0.5000  6 Pt 3.01-3.12
Pm 0.6630 0.1630 0.5000  6 Pt 3.01-3.12
Pm 0.8370 0.6630 0.5000  6 Pt 3.01-3.12
Pt 0.1375 0.6375 0.0000  6 Pm 3.01-3.12, 2 Tb 3.05, 1 Pt 3.06
Pt 0.3625 0.1375 0.0000  6 Pm 3.01-3.12, 2 Tb 3.05, 1 Pt 3.06
Pt 0.6375 0.8625 0.0000  6 Pm 3.01-3.12, 2 Tb 3.05, 1 Pt 3.06
Pt 0.8625 0.3625 0.0000  6 Pm 3.01-3.12, 2 Tb 3.05, 1 Pt 3.06

=====

## Q
Below is crystalline TbPm2Pt2 at its relaxed geometry, with properties calculated at the GGA-PBE level.

## Properties
symmetry = Ibam
V = 27.5 Å³/atom

Cell lengths 7.4467, 7.4467, 7.4467 Å; angles 113.76, 87.13, 130.32 degrees
Last column: nearest neighbours and their distance in Å.
Element x y z (fractional)
Tb 0.2500 0.2500 0.0000  4 Pt 2.93, 2 Tb 3.13
Tb 0.7500 0.7500 0.0000  4 Pt 2.93, 2 Tb 3.13
Pm 0.1535 0.6360 0.7895  3 Pt 2.84-3.02
Pm 0.3465 0.1360 0.4825  3 Pt 2.84-3.02
Pm 0.6535 0.8640 0.5175  3 Pt 2.84-3.02
Pm 0.8465 0.3640 0.2105  3 Pt 2.84-3.02
Pt 0.1040 0.2712 0.3751  3 Pm 2.84-3.02, 2 Tb 2.93
Pt 0.3960 0.7712 0.1672  3 Pm 2.84-3.02, 2 Tb 2.93
Pt 0.6040 0.2288 0.8328  3 Pm 2.84-3.02, 2 Tb 2.93
Pt 0.8960 0.7288 0.6249  3 Pm 2.84-3.02, 2 Tb 2.93

=====

P is the most stable structure; the next one sits 0.090 eV/atom above it.